# Tm5Tl6Cd | the Alexandria database | PBE | optimized geometry
# - Spin magnetization: 0.0 μB per formula unit
# - Fermi-level density of states: 8.01 states/eV/f.u.
# - DFT formation energy: -0.2467 eV per atom
data_Tm5Tl6Cd
_chemical_formula_sum 'Tm10 Tl12 Cd2'
_cell_length_a 4.879
_cell_length_b 8.639
_cell_length_c 15.004
_cell_angle_alpha 90.00
_cell_angle_beta 90.00
_cell_angle_gamma 90.00
_space_group_name_H-M_alt 'I m m m'
_space_group_IT_number 71
_space_group_name_Hall '-I 2 2'
loop_
_atom_site_label
_atom_site_fract_x
_atom_site_fract_y
_atom_site_fract_z
_atom_site_occupancy
Tm1 0.000 0.000 0.000 1
Tm2 0.000 0.000 0.356 1
Tm3 0.000 0.500 0.325 1
Tl1 0.000 0.244 0.171 1
Tl2 0.000 0.264 0.500 1
Cd1 0.000 0.500 0.000 1